(1)
Sc3GeS6 after structural relaxation. Source: the Alexandria database, functional PBE.

Values from the calculation:
ρ   3.26 g/cm3
ΔE_f (raw)   -1.381 eV/atom

Lattice parameters (Å, degrees): 6.2719 8.1552 8.1552 102.79 90.00 90.00
With the nearest neighbours (Å) after each atom.
Fractional positions:
S1 0.6869 0.6277 0.6973  4 Sc 2.54-2.66
S2 0.1737 0.0367 0.9633  1 Ge 2.36
S3 0.1869 0.3723 0.3027  4 Sc 2.54-2.66
S4 0.6869 0.3027 0.3723  4 Sc 2.54-2.66
S5 0.1869 0.6973 0.6277  4 Sc 2.54-2.66
S6 0.7144 0.8972 0.4471  1 Ge 2.32
S7 0.1337 0.7838 0.2162  1 Ge 2.41, 2 Sc 2.60
S8 0.6737 0.9633 0.0367  1 Ge 2.36
S9 0.6337 0.2162 0.7838  1 Ge 2.41, 2 Sc 2.60
S10 0.7144 0.5529 0.1028  1 Ge 2.32
S11 0.2144 0.1028 0.5529  1 Ge 2.32
S12 0.2144 0.4471 0.8972  1 Ge 2.32
Sc1 0.9834 0.7176 0.9111  7 S 2.54-2.83
Sc2 0.9834 0.0889 0.2824  7 S 2.54-2.83
Sc3 0.4834 0.9111 0.7176  7 S 2.54-2.83
Sc4 0.3920 0.4068 0.5932  7 S 2.59-2.86
Sc5 0.8920 0.5932 0.4068  7 S 2.59-2.86
Sc6 0.4834 0.2824 0.0889  7 S 2.54-2.83
Ge1 0.5167 0.7951 0.2049  4 S 2.32-2.41
Ge2 0.0167 0.2049 0.7951  4 S 2.32-2.41


(2)
ScGeS2 after structural relaxation. Source: the Alexandria database, functional PBE.

Values from the calculation:
ρ   3.29 g/cm3
ΔE_f (raw)   -1.015 eV/atom

Lattice parameters (Å, degrees): 8.3000 8.3000 8.3000 25.26 25.26 25.26
With the nearest neighbours (Å) after each atom.
Fractional positions:
Ge1 0.0000 0.0000 0.0000  2 S 2.56
Sc1 0.5000 0.5000 0.5000  6 S 2.55
S1 0.8939 0.8939 0.8939  3 Sc 2.55, 1 Ge 2.56
S2 0.1061 0.1061 0.1061  3 Sc 2.55, 1 Ge 2.56


(3)
Sc3Ge5S12 after structural relaxation. Source: the Alexandria database, functional PBE.

Values from the calculation:
ρ   3.49 g/cm3
ΔE_f (raw)   -0.733 eV/atom

Lattice parameters (Å, degrees): 12.9674 12.9674 12.9674 109.47 109.47 109.47
With the nearest neighbours (Å) after each atom.
Fractional positions:
S1 0.7217 0.5871 0.1798  1 Ge 2.28
S2 0.0420 0.6346 0.7217  1 Ge 2.28
S3 0.2783 0.4129 0.8202  1 Ge 2.28
S4 0.4129 0.2783 0.3202  1 Ge 2.28
S5 0.2217 0.6798 0.0871  1 Ge 2.28
S6 0.1798 0.0871 0.7217  1 Ge 2.28
S7 0.9074 0.8202 0.5420  1 Ge 2.28
S8 0.3654 0.9580 0.7783  1 Ge 2.28
S9 0.8654 0.2783 0.4580  1 Ge 2.28
S10 0.1346 0.4129 0.0926  1 Ge 2.28
S11 0.5420 0.3202 0.9074  1 Ge 2.28
S12 0.5871 0.8654 0.4074  1 Ge 2.28
S13 0.0420 0.4074 0.8202  1 Ge 2.28
S14 0.9129 0.8202 0.7783  1 Ge 2.28
S15 0.0926 0.9129 0.1346  1 Ge 2.28
S16 0.6346 0.5926 0.9129  1 Ge 2.28
S17 0.4580 0.6798 0.0926  1 Ge 2.28
S18 0.5926 0.9580 0.6798  1 Ge 2.28
S19 0.5420 0.2217 0.1346  1 Ge 2.28
S20 0.0871 0.1798 0.2217  1 Ge 2.28
S21 0.5871 0.7217 0.6798  1 Ge 2.28
S22 0.5926 0.6346 0.4129  1 Ge 2.28
S23 0.4074 0.0420 0.3202  1 Ge 2.28
S24 0.7783 0.4580 0.3654  1 Ge 2.28
S25 0.9580 0.3654 0.2783  1 Ge 2.28
S26 0.9129 0.0926 0.6346  1 Ge 2.28
S27 0.4129 0.1346 0.5926  1 Ge 2.28
S28 0.1346 0.7217 0.5420  1 Ge 2.28
S29 0.2783 0.8654 0.9580  1 Ge 2.28
S30 0.6346 0.0420 0.2217  1 Ge 2.28
S31 0.3654 0.4074 0.0871  1 Ge 2.28
S32 0.4580 0.7783 0.8654  1 Ge 2.28
S33 0.8202 0.9074 0.0420  1 Ge 2.28
S34 0.4074 0.3654 0.5871  1 Ge 2.28
S35 0.6798 0.2217 0.5871  1 Ge 2.28
S36 0.8202 0.9129 0.2783  1 Ge 2.28
S37 0.8654 0.5871 0.9074  1 Ge 2.28
S38 0.1798 0.0926 0.9580  1 Ge 2.28
S39 0.7217 0.1346 0.0420  1 Ge 2.28
S40 0.6798 0.4580 0.5926  1 Ge 2.28
S41 0.0871 0.9074 0.3654  1 Ge 2.28
S42 0.0926 0.1798 0.4580  1 Ge 2.28
S43 0.3202 0.7783 0.4129  1 Ge 2.28
S44 0.2217 0.5420 0.6346  1 Ge 2.28
S45 0.9580 0.5926 0.1798  1 Ge 2.28
S46 0.3202 0.5420 0.4074  1 Ge 2.28
S47 0.7783 0.3202 0.9129  1 Ge 2.28
S48 0.9074 0.0871 0.8654  1 Ge 2.28
Sc1 0.7500 0.8750 0.6250  8 S 2.78-2.84
Sc2 0.6250 0.2500 0.3750  8 S 2.78-2.84
Sc3 0.7500 0.3750 0.1250  8 S 2.78-2.84
Sc4 0.1250 0.8750 0.7500  8 S 2.78-2.84
Sc5 0.1250 0.2500 0.8750  8 S 2.78-2.84
Sc6 0.8750 0.1250 0.2500  8 S 2.78-2.84
Sc7 0.3750 0.6250 0.2500  8 S 2.78-2.84
Sc8 0.6250 0.3750 0.7500  8 S 2.78-2.84
Sc9 0.2500 0.1250 0.3750  8 S 2.78-2.84
Sc10 0.3750 0.7500 0.6250  8 S 2.78-2.84
Sc11 0.2500 0.6250 0.8750  8 S 2.78-2.84
Sc12 0.8750 0.7500 0.1250  8 S 2.78-2.84
Ge1 0.2500 0.8750 0.1250  4 S 2.28
Ge2 0.2500 0.3750 0.6250  4 S 2.28
Ge3 0.0000 0.5000 0.5000  6 S 2.57
Ge4 0.5000 0.5000 0.5000  6 S 2.57
Ge5 0.8750 0.6250 0.7500  4 S 2.28
Ge6 0.3750 0.1250 0.7500  4 S 2.28
Ge7 0.6250 0.7500 0.8750  4 S 2.28
Ge8 0.7500 0.6250 0.3750  4 S 2.28
Ge9 0.3750 0.2500 0.1250  4 S 2.28
Ge10 0.5000 0.5000 0.0000  6 S 2.57
Ge11 0.5000 0.0000 0.0000  6 S 2.57
Ge12 0.0000 0.5000 0.0000  6 S 2.57
Ge13 0.5000 0.0000 0.5000  6 S 2.57
Ge14 0.1250 0.7500 0.3750  4 S 2.28
Ge15 0.6250 0.8750 0.2500  4 S 2.28
Ge16 0.7500 0.1250 0.8750  4 S 2.28
Ge17 0.8750 0.2500 0.6250  4 S 2.28
Ge18 0.0000 0.0000 0.0000  6 S 2.57
Ge19 0.0000 0.0000 0.5000  6 S 2.57
Ge20 0.1250 0.3750 0.2500  4 S 2.28


(4)
Sc2GeS after structural relaxation. Source: the Alexandria database, functional PBE.

Values from the calculation:
ρ   3.02 g/cm3
ΔE_f (raw)   -0.824 eV/atom

Lattice parameters (Å, degrees): 5.8696 5.8696 7.4725 66.87 66.87 90.00
With the nearest neighbours (Å) after each atom.
Fractional positions:
S1 0.2500 0.7500 0.5000  4 Sc 2.56
S2 0.5000 0.5000 0.0000  4 Sc 2.56
Sc1 0.6159 0.1250 0.2500  2 S 2.56, 2 Ge 2.62
Sc2 0.1341 0.6250 0.2500  2 S 2.56, 2 Ge 2.62
Sc3 0.3750 0.3841 0.7500  2 S 2.56, 2 Ge 2.62
Sc4 0.8750 0.8659 0.7500  2 S 2.56, 2 Ge 2.62
Ge1 0.0000 0.0000 0.0000  4 Sc 2.62
Ge2 0.7500 0.2500 0.5000  4 Sc 2.62


(5)
Sc2GeS after structural relaxation. Source: the Alexandria database, functional PBE.

Values from the calculation:
ρ   4.33 g/cm3
ΔE_f (raw)   -0.847 eV/atom

Lattice parameters (Å, degrees): 4.7263 4.7263 4.7263 60.00 60.00 60.00
With the nearest neighbours (Å) after each atom.
Fractional positions:
Ge1 0.5000 0.5000 0.5000  8 Sc 2.89
S1 0.0000 0.0000 0.0000  8 Sc 2.89
Sc1 0.7500 0.7500 0.7500  4 Ge 2.89, 4 S 2.89
Sc2 0.2500 0.2500 0.2500  4 S 2.89, 4 Ge 2.89


(6)
Sc2GeS4 after structural relaxation. Source: the Alexandria database, functional PBE.

Values from the calculation:
ρ   3.26 g/cm3
ΔE_f (raw)   -1.388 eV/atom

Lattice parameters (Å, degrees): 3.7204 11.8191 13.4562 90.00 90.00 90.00
With the nearest neighbours (Å) after each atom.
Fractional positions:
Sc1 0.7500 0.5833 0.0860  6 S 2.51-2.67
Sc2 0.2500 0.4167 0.9140  6 S 2.51-2.67
Sc3 0.2500 0.4248 0.3823  6 S 2.55-2.70
Sc4 0.2500 0.9167 0.5860  6 S 2.51-2.67
Sc5 0.2500 0.9248 0.1177  6 S 2.55-2.70
Sc6 0.7500 0.0752 0.8823  6 S 2.55-2.70
Sc7 0.7500 0.0833 0.4140  6 S 2.51-2.67
Sc8 0.7500 0.5752 0.6177  6 S 2.55-2.70
S1 0.2500 0.1231 0.5347  3 Sc 2.51-2.54
S2 0.7500 0.8769 0.4653  3 Sc 2.51-2.54
S3 0.2500 0.0372 0.2813  1 Ge 2.40, 3 Sc 2.57-2.64
S4 0.7500 0.5836 0.4247  3 Sc 2.60-2.70, 2 Ge 2.70
S5 0.7500 0.9628 0.7187  1 Ge 2.40, 3 Sc 2.57-2.64
S6 0.2500 0.4164 0.5753  3 Sc 2.60-2.70, 2 Ge 2.70
S7 0.7500 0.0836 0.0753  3 Sc 2.60-2.70, 2 Ge 2.70
S8 0.2500 0.2106 0.8318  3 Sc 2.55-2.67
S9 0.7500 0.4628 0.7813  1 Ge 2.40, 3 Sc 2.57-2.64
S10 0.7500 0.2894 0.3318  3 Sc 2.55-2.67
S11 0.2500 0.5372 0.2187  1 Ge 2.40, 3 Sc 2.57-2.64
S12 0.2500 0.7106 0.6682  3 Sc 2.55-2.67
S13 0.2500 0.6231 0.9653  3 Sc 2.51-2.54
S14 0.7500 0.3769 0.0347  3 Sc 2.51-2.54
S15 0.2500 0.9164 0.9247  3 Sc 2.60-2.70, 2 Ge 2.70
S16 0.7500 0.7894 0.1682  3 Sc 2.55-2.67
Ge1 0.7500 0.2976 0.6771  1 S 2.40
Ge2 0.2500 0.2024 0.1771  1 S 2.40
Ge3 0.7500 0.7976 0.8229  1 S 2.40
Ge4 0.2500 0.7024 0.3229  1 S 2.40


(7)
Sc2GeS after structural relaxation. Source: the Alexandria database, functional PBE.

Values from the calculation:
ρ   4.15 g/cm3
ΔE_f (raw)   -1.337 eV/atom

Lattice parameters (Å, degrees): 3.7670 3.7684 6.6994 90.00 106.34 120.01
With the nearest neighbours (Å) after each atom.
Fractional positions:
Ge1 0.0000 0.5000 0.5000  6 Sc 2.70
Sc1 0.4976 0.7488 0.2464  3 S 2.68, 3 Ge 2.70
Sc2 0.5024 0.2512 0.7536  3 S 2.68, 3 Ge 2.70
S1 0.0000 0.0000 0.0000  6 Sc 2.68


(8)
Sc5Ge2S2 after structural relaxation. Source: the Alexandria database, functional PBE.

Values from the calculation:
ρ   4.31 g/cm3
ΔE_f (raw)   -1.214 eV/atom

Lattice parameters (Å, degrees): 7.1130 7.0356 7.5554 117.75 90.00 90.00
With the nearest neighbours (Å) after each atom.
Fractional positions:
S1 0.0000 0.8012 0.6025  7 Sc 2.66-2.80
S2 0.5000 0.6988 0.3975  7 Sc 2.66-2.80
S3 0.0000 0.1988 0.3975  7 Sc 2.66-2.80
S4 0.5000 0.3012 0.6025  7 Sc 2.66-2.80
Ge1 0.3659 0.1341 0.0000  1 Ge 2.68, 8 Sc 2.75-2.84
Ge2 0.1341 0.6341 0.0000  1 Ge 2.68, 8 Sc 2.75-2.84
Ge3 0.6341 0.8659 0.0000  1 Ge 2.68, 8 Sc 2.75-2.84
Ge4 0.8659 0.3659 0.0000  1 Ge 2.68, 8 Sc 2.75-2.84
Sc1 0.1598 0.4725 0.2811  3 S 2.70-2.80, 3 Ge 2.76-2.84
Sc2 0.8402 0.5275 0.7189  3 S 2.70-2.80, 3 Ge 2.76-2.84
Sc3 0.1598 0.1914 0.7189  3 S 2.70-2.80, 3 Ge 2.76-2.84
Sc4 0.6598 0.3086 0.2811  3 S 2.70-2.80, 3 Ge 2.76-2.84
Sc5 0.3402 0.6914 0.7189  3 S 2.70-2.80, 3 Ge 2.76-2.84
Sc6 0.0000 0.0000 0.0000  2 S 2.66, 4 Ge 2.75-2.77
Sc7 0.3402 0.9725 0.2811  3 S 2.70-2.80, 3 Ge 2.76-2.84
Sc8 0.6598 0.0275 0.7189  3 S 2.70-2.80, 3 Ge 2.76-2.84
Sc9 0.8402 0.8086 0.2811  3 S 2.70-2.80, 3 Ge 2.76-2.84
Sc10 0.5000 0.5000 0.0000  2 S 2.66, 4 Ge 2.75-2.77